A plane-wave DFT calculation with PBE was carried out for Ac2PaTl after structural relaxation.

## Properties
V: 136.5 Å³/cell
energy of formation from the pure elements: 12.19 kJ/mol of atoms
total magnetic moment: 0.10 μB/atom
final energy: -19.57 eV for the cell shown

a b c (Å): 3.6813 3.6813 10.0742
angles (deg): 90.00 90.00 90.00
Atoms (fractional coordinates):
Pa (0.5000, 0.5000, 0.5000)
Ac (0.0000, 0.0000, 0.7484)
Ac (0.0000, 0.0000, 0.2516)
Tl (0.5000, 0.5000, 0.0000)